# Ba2Mo2F11 | Alexandria | PBE with a Hubbard U | optimized geometry
# Mass density (g/cm3): 3.826
# Energy (Ry per atom): -0.4085
data_Ba2Mo2F11
_chemical_formula_sum 'Ba6 Mo6 F33'
_cell_length_a 8.3619
_cell_length_b 8.3619
_cell_length_c 14.5243
_cell_angle_alpha 90.00
_cell_angle_beta 90.00
_cell_angle_gamma 120.00
_symmetry_space_group_name_H-M 'P 32'
_symmetry_Int_Tables_number 145
loop_
_symmetry_equiv_pos_as_xyz
'x,y,z'
'-y,x-y,z+2/3'
'-x+y,-x,z+1/3'
loop_
_atom_site_label
_atom_site_type_symbol
_atom_site_fract_x
_atom_site_fract_y
_atom_site_fract_z
Ba1 Ba 0.0234 0.9012 0.0000
Ba2 Ba 0.0281 0.4559 0.1565
Mo1 Mo 0.0671 0.6200 0.7500
Mo2 Mo 0.4042 0.2069 0.2381
F1 F 0.0039 0.2187 0.9779
F2 F 0.0170 0.7411 0.1482
F3 F 0.0215 0.8234 0.8080
F4 F 0.0808 0.7302 0.6119
F5 F 0.0951 0.4257 0.6775
F6 F 0.2674 0.1611 0.1247
F7 F 0.2744 0.6116 0.4538
F8 F 0.3809 0.1053 0.6291
F9 F 0.4998 0.0253 0.2109
F10 F 0.5074 0.2812 0.3721
F11 F 0.5938 0.2322 0.8660